The following is a DFT calculation (GGA-PBEsol) of crystalline SrAl2Rh at its relaxed geometry.

Cell and atoms, written as POSCAR:
```
SrAl2Rh
1.0
3.148 0.000 0.000
0.000 3.148 0.000
0.000 0.000 7.750
Sr Al Rh
1 2 1
Direct
0.000 0.000 0.000
0.500 0.500 0.323
0.500 0.500 0.677
0.000 0.000 0.500
```

Values from the calculation:
The formation energy is -447 meV per atom. The calculation puts the total energy at -4.9876 eV/atom.


The following is a DFT calculation (GGA-PBEsol) of crystalline SrAl2Rh at its relaxed geometry.

Cell and atoms, written as POSCAR:
```
SrAl2Rh
1.0
4.082 0.000 0.000
0.000 4.082 0.000
0.000 0.000 4.688
Sr Al Rh
1 2 1
Direct
0.000 0.000 0.000
0.000 0.500 0.500
0.500 0.000 0.500
0.500 0.500 0.000
```

Values from the calculation:
The formation energy is 20 meV per atom. The calculation puts the total energy at -4.5208 eV/atom.


The following is a DFT calculation (GGA-PBEsol) of crystalline SrAl2Rh at its relaxed geometry.

Cell and atoms, written as POSCAR:
```
SrAl2Rh
1.0
2.144 1.238 5.586
-2.144 1.238 5.586
0.000 -2.476 5.586
Sr Al Rh
1 2 1
Direct
0.000 0.000 0.000
0.195 0.195 0.195
0.805 0.805 0.805
0.500 0.500 0.500
```

Values from the calculation:
The formation energy is -556 meV per atom. The calculation puts the total energy at -5.0961 eV/atom.


The following is a DFT calculation (GGA-PBEsol) of crystalline TaAlTl2Rh at its relaxed geometry.

Cell and atoms, written as POSCAR:
```
TaAlTl2Rh
1.0
5.241 0.000 0.000
0.000 5.241 0.000
0.000 0.000 4.945
Ta Al Tl Rh
1 1 2 1
Direct
0.000 0.000 0.000
0.000 0.000 0.500
0.000 0.500 0.000
0.500 0.000 0.000
0.500 0.500 0.500
```

Values from the calculation:
The formation energy is 1491 meV per atom. The calculation puts the total energy at -4.5175 eV/atom.


The following is a DFT calculation (GGA-PBEsol) of crystalline AlTcRh2 at its relaxed geometry.

Cell and atoms, written as POSCAR:
```
AlTcRh2
1.0
-1.917 1.917 3.711
1.917 -1.917 3.711
1.917 1.917 -3.711
Al Tc Rh
1 1 2
Direct
0.000 0.000 0.000
0.500 0.500 0.000
0.250 0.750 0.500
0.750 0.250 0.500
```

Values from the calculation:
The formation energy is -374 meV per atom. The calculation puts the total energy at -8.2831 eV/atom.


The following is a DFT calculation (GGA-PBEsol) of crystalline Al3TcRh at its relaxed geometry.

Cell and atoms, written as POSCAR:
```
Al3TcRh
1.0
4.493 0.000 0.000
0.000 4.493 0.000
0.000 0.000 4.493
Al Tc Rh
3 1 1
Direct
0.000 0.000 0.500
0.000 0.500 0.000
0.500 0.000 0.000
0.500 0.500 0.500
0.000 0.000 0.000
```

Values from the calculation:
The formation energy is 521 meV per atom. The calculation puts the total energy at -5.8144 eV/atom.


The following is a DFT calculation (GGA-PBEsol) of crystalline AlTc2Rh at its relaxed geometry.

Cell and atoms, written as POSCAR:
```
AlTc2Rh
1.0
-1.477 2.189 4.231
1.477 -2.189 4.231
1.477 2.189 -4.231
Al Tc Rh
1 2 1
Direct
0.000 0.000 0.000
0.246 0.746 0.500
0.497 0.497 0.000
0.765 0.265 0.500
```

Values from the calculation:
The formation energy is -205 meV per atom. The calculation puts the total energy at -8.8956 eV/atom.


The following is a DFT calculation (GGA-PBEsol) of crystalline Al2TcRh at its relaxed geometry.

Cell and atoms, written as POSCAR:
```
Al2TcRh
1.0
4.307 0.000 0.000
0.000 4.307 0.000
0.000 0.000 2.895
Al Tc Rh
2 1 1
Direct
0.000 0.500 0.000
0.500 0.000 0.000
0.000 0.000 0.500
0.500 0.500 0.500
```

Values from the calculation:
The formation energy is -669 meV per atom. The calculation puts the total energy at -7.5664 eV/atom.


The following is a DFT calculation (GGA-PBEsol) of crystalline AlTc2Rh at its relaxed geometry.

Cell and atoms, written as POSCAR:
```
AlTc2Rh
1.0
-1.818 1.818 4.162
1.818 -1.818 4.162
1.818 1.818 -4.162
Al Tc Rh
1 2 1
Direct
0.000 0.000 0.000
0.250 0.750 0.500
0.750 0.250 0.500
0.500 0.500 0.000
```

Values from the calculation:
The formation energy is -265 meV per atom. The calculation puts the total energy at -8.9558 eV/atom.


The following is a DFT calculation (GGA-PBEsol) of crystalline Al2TeRh at its relaxed geometry.

Cell and atoms, written as POSCAR:
```
Al2TeRh
1.0
3.870 0.000 0.000
0.000 4.191 0.000
0.000 0.000 4.275
Al Te Rh
2 1 1
Direct
0.000 0.000 0.000
0.500 0.500 0.000
0.000 0.500 0.500
0.500 0.000 0.500
```

Values from the calculation:
The value obtained for the uncorrected formation energy is 0.053 eV per atom. The calculation puts the total energy at -4.9094 eV/atom.


The following is a DFT calculation (GGA-PBEsol) of crystalline Ti8Al15Rh7 at its relaxed geometry.

Cell and atoms, written as POSCAR:
```
Ti8Al15Rh7
1.0
-4.273 4.286 6.049
4.273 -4.286 6.049
4.273 4.286 -6.049
Ti Al Rh
8 15 7
Direct
0.000 0.000 0.000
0.419 0.420 0.428
0.419 0.991 0.999
0.428 0.428 0.000
0.830 0.074 0.244
0.830 0.587 0.756
0.992 0.420 0.001
0.992 0.991 0.572
0.055 0.365 0.310
0.055 0.746 0.690
0.059 0.362 0.697
0.075 0.831 0.243
0.213 0.213 0.000
0.346 0.588 0.758
0.363 0.057 0.695
0.363 0.668 0.305
0.365 0.055 0.310
0.588 0.345 0.756
0.588 0.831 0.757
0.588 0.832 0.244
0.665 0.362 0.303
0.745 0.055 0.690
0.830 0.588 0.242
0.208 0.209 0.499
0.208 0.709 0.999
0.210 0.710 0.500
0.711 0.209 0.001
0.711 0.709 0.501
0.711 0.711 0.000
0.712 0.212 0.500
```

Values from the calculation:
The formation energy is -772 meV per atom. The calculation puts the total energy at -6.9364 eV/atom.


The following is a DFT calculation (GGA-PBEsol) of crystalline TiAlZnRh2 at its relaxed geometry.

Cell and atoms, written as POSCAR:
```
TiAlZnRh2
1.0
4.417 0.000 0.000
0.000 4.417 0.000
0.000 0.000 4.811
Ti Al Zn Rh
1 1 1 2
Direct
0.000 0.000 0.000
0.000 0.000 0.500
0.500 0.500 0.500
0.000 0.500 0.000
0.500 0.000 0.000
```

Values from the calculation:
The formation energy is 755 meV per atom. The calculation puts the total energy at -5.2992 eV/atom.


The following is a DFT calculation (GGA-PBEsol) of crystalline AlTlRh2 at its relaxed geometry.

Cell and atoms, written as POSCAR:
```
AlTlRh2
1.0
2.983 0.000 0.000
0.000 2.983 0.000
0.000 0.000 6.832
Al Tl Rh
1 1 2
Direct
0.000 0.000 0.000
0.000 0.000 0.500
0.500 0.500 0.214
0.500 0.500 0.786
```

Values from the calculation:
The formation energy is -476 meV per atom. The calculation puts the total energy at -6.2261 eV/atom.


The following is a DFT calculation (GGA-PBEsol) of crystalline AlTl2Rh2 at its relaxed geometry.

Cell and atoms, written as POSCAR:
```
AlTl2Rh2
1.0
-1.947 1.947 6.461
1.947 -1.947 6.461
1.947 1.947 -6.461
Al Tl Rh
1 2 2
Direct
0.000 0.000 0.000
0.250 0.750 0.500
0.750 0.250 0.500
0.404 0.404 0.000
0.596 0.596 0.000
```

Values from the calculation:
The formation energy is 406 meV per atom. The calculation puts the total energy at -4.7196 eV/atom.


The following is a DFT calculation (GGA-PBEsol) of crystalline AlTl2Rh at its relaxed geometry.

Cell and atoms, written as POSCAR:
```
AlTl2Rh
1.0
2.960 -4.814 0.000
2.960 4.814 0.000
-1.786 0.000 2.760
Al Tl Rh
1 2 1
Direct
0.000 0.000 0.000
0.000 0.500 0.000
0.500 0.000 0.000
0.500 0.500 0.000
```

Values from the calculation:
The formation energy is 280 meV per atom. The calculation puts the total energy at -4.0929 eV/atom. The value obtained for the distance to the lowest polymorph of the same formula is 34 meV per atom.


The following is a DFT calculation (GGA-PBEsol) of crystalline AlTl2Rh at its relaxed geometry.

Cell and atoms, written as POSCAR:
```
AlTl2Rh
1.0
-2.144 2.144 4.153
2.144 -2.144 4.153
2.144 2.144 -4.153
Al Tl Rh
1 2 1
Direct
0.000 0.000 0.000
0.250 0.750 0.500
0.750 0.250 0.500
0.500 0.500 0.000
```

Values from the calculation:
The formation energy is 246 meV per atom. The calculation puts the total energy at -4.1271 eV/atom. The value obtained for the distance to the lowest polymorph of the same formula is 0 meV per atom.


The following is a DFT calculation (GGA-PBEsol) of crystalline AlTl2Rh at its relaxed geometry.

Cell and atoms, written as POSCAR:
```
AlTl2Rh
1.0
3.193 0.000 0.000
0.000 5.012 0.000
-0.093 0.000 4.909
Al Tl Rh
1 2 1
Direct
0.000 0.000 0.000
0.258 0.500 0.254
0.742 0.500 0.746
0.500 0.000 0.500
```

Values from the calculation:
The formation energy is 259 meV per atom. The calculation puts the total energy at -4.1139 eV/atom. The value obtained for the distance to the lowest polymorph of the same formula is 13 meV per atom.


The following is a DFT calculation (GGA-PBEsol) of crystalline Al3RhW at its relaxed geometry.

Cell and atoms, written as POSCAR:
```
Al3RhW
1.0
4.509 0.000 0.000
0.000 4.509 0.000
0.000 0.000 4.509
Al Rh W
3 1 1
Direct
0.000 0.000 0.500
0.000 0.500 0.000
0.500 0.000 0.000
0.000 0.000 0.000
0.500 0.500 0.500
```

Values from the calculation:
The formation energy is 726 meV per atom. The calculation puts the total energy at -6.1176 eV/atom.


The following is a DFT calculation (GGA-PBEsol) of crystalline AlRh2W at its relaxed geometry.

Cell and atoms, written as POSCAR:
```
AlRh2W
1.0
2.767 0.000 0.000
0.000 4.428 0.000
0.000 0.000 4.615
Al Rh W
1 2 1
Direct
0.000 0.000 0.000
0.500 0.000 0.472
0.500 0.500 0.088
0.000 0.500 0.605
```

Values from the calculation:
The formation energy is -399 meV per atom. The calculation puts the total energy at -8.9427 eV/atom.


The following is a DFT calculation (GGA-PBEsol) of crystalline Al4RhW at its relaxed geometry.

Cell and atoms, written as POSCAR:
```
Al4RhW
1.0
0.000 3.507 3.507
3.507 0.000 3.507
3.507 3.507 0.000
Al Rh W
4 1 1
Direct
0.125 0.125 0.125
0.125 0.125 0.625
0.125 0.625 0.125
0.625 0.125 0.125
0.500 0.500 0.500
0.750 0.750 0.750
```

Values from the calculation:
The formation energy is 88 meV per atom. The calculation puts the total energy at -6.2976 eV/atom.


The following is a DFT calculation (GGA-PBEsol) of crystalline AlRh2W at its relaxed geometry.

Cell and atoms, written as POSCAR:
```
AlRh2W
1.0
2.806 0.000 0.000
0.000 2.806 0.000
0.000 0.000 6.976
Al Rh W
1 2 1
Direct
0.000 0.000 0.000
0.500 0.500 0.232
0.500 0.500 0.768
0.000 0.000 0.500
```

Values from the calculation:
The formation energy is -619 meV per atom. The calculation puts the total energy at -9.1625 eV/atom.


The following is a DFT calculation (GGA-PBEsol) of crystalline AlRh2W at its relaxed geometry.

Cell and atoms, written as POSCAR:
```
AlRh2W
1.0
0.000 3.049 3.049
3.049 0.000 3.049
3.049 3.049 0.000
Al Rh W
1 2 1
Direct
0.000 0.000 0.000
0.500 0.500 0.500
0.750 0.750 0.750
0.250 0.250 0.250
```

Values from the calculation:
The formation energy is -81 meV per atom. The calculation puts the total energy at -8.6252 eV/atom.


The following is a DFT calculation (GGA-PBEsol) of crystalline AlRhW at its relaxed geometry.

Cell and atoms, written as POSCAR:
```
AlRhW
1.0
4.260 0.000 0.000
-2.130 3.689 0.000
0.000 0.000 2.736
Al Rh W
1 1 1
Direct
0.000 0.000 0.000
0.333 0.667 0.000
0.667 0.333 0.500
```

Values from the calculation:
The formation energy is -251 meV per atom. The calculation puts the total energy at -8.9300 eV/atom.


The following is a DFT calculation (GGA-PBEsol) of crystalline AlRhW2 at its relaxed geometry.

Cell and atoms, written as POSCAR:
```
AlRhW2
1.0
3.687 0.000 0.000
0.000 3.687 0.000
0.000 0.000 4.341
Al Rh W
1 1 2
Direct
0.000 0.000 0.000
0.500 0.500 0.000
0.000 0.500 0.500
0.500 0.000 0.500
```

Values from the calculation:
The formation energy is -101 meV per atom. The calculation puts the total energy at -10.0618 eV/atom.


The following is a DFT calculation (GGA-PBEsol) of crystalline Y2AlRh at its relaxed geometry.

Cell and atoms, written as POSCAR:
```
Y2AlRh
1.0
3.489 0.000 0.000
0.000 3.489 0.000
0.000 0.000 6.902
Y Al Rh
2 1 1
Direct
0.000 0.000 0.233
0.000 0.000 0.767
0.500 0.500 0.500
0.500 0.500 0.000
```

Values from the calculation:
The formation energy is -610 meV per atom. The calculation puts the total energy at -7.0783 eV/atom.


The following is a DFT calculation (GGA-PBEsol) of crystalline YAl2Rh at its relaxed geometry.

Cell and atoms, written as POSCAR:
```
YAl2Rh
1.0
-1.523 2.429 4.932
1.523 -2.429 4.932
1.523 2.429 -4.932
Y Al Rh
1 2 1
Direct
0.000 0.000 0.000
0.288 0.788 0.500
0.712 0.212 0.500
0.500 0.500 0.000
```

Values from the calculation:
The formation energy is -481 meV per atom. The calculation puts the total energy at -6.2666 eV/atom.


The following is a DFT calculation (GGA-PBEsol) of crystalline Y2AlRh at its relaxed geometry.

Cell and atoms, written as POSCAR:
```
Y2AlRh
1.0
2.172 1.254 5.719
-2.172 1.254 5.719
0.000 -2.508 5.719
Y Al Rh
2 1 1
Direct
0.000 0.000 0.000
0.191 0.191 0.191
0.767 0.767 0.767
0.421 0.421 0.421
```

Values from the calculation:
The formation energy is -496 meV per atom. The calculation puts the total energy at -6.9644 eV/atom.


The following is a DFT calculation (GGA-PBEsol) of crystalline YAlRh at its relaxed geometry.

Cell and atoms, written as POSCAR:
```
YAlRh
1.0
0.000 3.136 3.136
3.136 0.000 3.136
3.136 3.136 0.000
Y Al Rh
1 1 1
Direct
0.000 0.000 0.000
0.750 0.750 0.750
0.500 0.500 0.500
```

Values from the calculation:
The formation energy is -139 meV per atom. The calculation puts the total energy at -6.4894 eV/atom.


The following is a DFT calculation (GGA-PBEsol) of crystalline Y2AlRh at its relaxed geometry.

Cell and atoms, written as POSCAR:
```
Y2AlRh
1.0
4.227 0.000 0.000
0.000 1.968 5.366
0.000 -1.968 5.366
Y Al Rh
2 1 1
Direct
0.000 0.000 0.000
0.500 0.286 0.286
0.000 0.707 0.707
0.500 0.572 0.572
```

Values from the calculation:
The formation energy is -597 meV per atom. The calculation puts the total energy at -7.0651 eV/atom.